# 1
A geometry-optimized Tl8SnHg2 structure. Source: Alexandria, functional GGA-PBE.

Cell lengths 6.124, 9.461, 9.461 Å; angles 39.93, 74.92, 74.92 degrees
Positions (direct):
Tl: 0.852 0.430 0.921
Tl: 0.852 0.921 0.430
Sn: 0.000 0.000 0.000
Hg: 0.369 0.669 0.669
Tl: 0.148 0.079 0.570
Hg: 0.631 0.331 0.331
Tl: 0.248 0.500 0.500
Tl: 0.587 0.897 0.897
Tl: 0.752 0.500 0.500
Tl: 0.148 0.570 0.079
Tl: 0.413 0.103 0.103

## Properties
energy of formation: 0.03 eV/atom
uncorrected energy: -2.1133 eV per atom
N(E_F): 5.65 states/eV/cell

# 2
A geometry-optimized YSc2Cr structure. Source: Alexandria, functional GGA-PBE.

Cell lengths 4.818, 3.273, 6.175 Å; angles 75.20, 90.00, 90.00 degrees
Last column: magnetic moment on the atom in μB.
Positions (direct):
Y: 0.500 0.250 0.250  -0.03
Sc: 0.000 0.576 0.528  -0.13
Sc: 0.000 0.924 0.972  -0.13
Cr: 0.500 0.750 0.750  3.21

## Properties
relative energy among the computed polymorphs: 104.2 meV per atom
energy of formation: 0.28 eV/atom
uncorrected energy: -6.9059 eV per atom
N(E_F): 6.13 states/eV/cell

# 3
A geometry-optimized KPaTlF6 structure. Source: Alexandria, functional GGA-PBE.

Cell lengths 6.804, 6.804, 9.957 Å; angles 90.00, 90.00, 120.00 degrees
Last column: magnetic moment on the atom in μB.
Positions (direct):
F: 0.661 0.054 0.367  -0.01
Pa: 0.333 0.667 0.750  1.02
Tl: 0.000 0.000 0.500  0.00
F: 0.393 0.054 0.133  -0.01
F: 0.054 0.661 0.867  -0.01
Pa: 0.667 0.333 0.250  1.02
F: 0.393 0.339 0.367  -0.01
F: 0.946 0.607 0.367  -0.01
F: 0.339 0.946 0.633  -0.01
F: 0.054 0.393 0.633  -0.01
Tl: 0.000 0.000 0.000  0.00
K: 0.667 0.333 0.750  0.00
F: 0.607 0.661 0.633  -0.01
F: 0.661 0.607 0.133  -0.01
F: 0.946 0.339 0.133  -0.01
F: 0.607 0.946 0.867  -0.01
F: 0.339 0.393 0.867  -0.01
K: 0.333 0.667 0.250  0.00

## Properties
uncorrected energy: -5.8715 eV per atom
formation energy without anion corrections: -3.184 eV/atom
N(E_F): 0.89 states/eV/cell

# 4
A geometry-optimized Rb12Hg5Pd3 structure. Source: Alexandria, functional GGA-PBE.

Cell lengths 17.985, 17.985, 17.985 Å; angles 109.47, 109.47, 109.47 degrees
Positions (direct):
Pd: 0.750 0.375 0.125
Pd: 0.375 0.750 0.625
Rb: 0.890 0.063 0.630
Pd: 0.625 0.375 0.750
Hg: 0.750 0.625 0.375
Rb: 0.130 0.390 0.063
Hg: 0.500 0.000 0.500
Pd: 0.250 0.125 0.375
Hg: 0.625 0.875 0.250
Rb: 0.110 0.172 0.239
Hg: 0.500 0.500 0.000
Rb: 0.067 0.437 0.828
Pd: 0.875 0.750 0.125
Rb: 0.433 0.672 0.063
Pd: 0.125 0.875 0.750
Rb: 0.567 0.239 0.130
Hg: 0.500 0.500 0.500
Hg: 0.875 0.625 0.750
Rb: 0.328 0.567 0.437
Rb: 0.433 0.761 0.870
Rb: 0.261 0.390 0.828
Hg: 0.875 0.250 0.625
Rb: 0.567 0.328 0.937
Rb: 0.261 0.870 0.933
Hg: 0.000 0.000 0.000
Rb: 0.828 0.937 0.067
Rb: 0.870 0.261 0.433
Hg: 0.375 0.250 0.125
Hg: 0.500 0.000 0.000
Pd: 0.875 0.125 0.250
Rb: 0.630 0.067 0.239
Rb: 0.630 0.563 0.890
Rb: 0.610 0.870 0.437
Hg: 0.250 0.875 0.125
Rb: 0.937 0.110 0.870
Rb: 0.067 0.630 0.739
Rb: 0.110 0.937 0.370
Hg: 0.000 0.500 0.000
Rb: 0.610 0.739 0.672
Rb: 0.239 0.567 0.630
Rb: 0.739 0.610 0.172
Rb: 0.828 0.890 0.261
Rb: 0.672 0.433 0.563
Hg: 0.250 0.375 0.625
Rb: 0.172 0.110 0.739
Rb: 0.890 0.828 0.761
Hg: 0.000 0.500 0.500
Rb: 0.761 0.328 0.890
Rb: 0.239 0.672 0.110
Rb: 0.328 0.761 0.390
Rb: 0.390 0.130 0.563
Rb: 0.563 0.933 0.672
Rb: 0.390 0.261 0.328
Rb: 0.739 0.130 0.067
Rb: 0.370 0.437 0.110
Rb: 0.563 0.630 0.390
Hg: 0.625 0.750 0.875
Rb: 0.437 0.067 0.328
Rb: 0.063 0.172 0.433
Hg: 0.000 0.000 0.500
Pd: 0.375 0.625 0.250
Pd: 0.625 0.250 0.375
Pd: 0.125 0.250 0.875
Hg: 0.125 0.750 0.375
Rb: 0.870 0.610 0.937
Hg: 0.375 0.125 0.750
Rb: 0.437 0.370 0.610
Hg: 0.750 0.125 0.875
Rb: 0.130 0.739 0.567
Rb: 0.063 0.890 0.130
Rb: 0.933 0.370 0.261
Rb: 0.937 0.828 0.567
Pd: 0.750 0.875 0.625
Hg: 0.125 0.375 0.250
Rb: 0.761 0.433 0.370
Rb: 0.172 0.063 0.933
Pd: 0.250 0.625 0.875
Rb: 0.370 0.933 0.761
Rb: 0.672 0.239 0.610
Rb: 0.933 0.563 0.172

## Properties
energy of formation: 0.11 eV/atom
uncorrected energy: -1.3246 eV per atom
N(E_F): 85.69 states/eV/cell

# 5
A geometry-optimized TbErBiPb structure. Source: Alexandria, functional GGA-PBE.

Cell lengths 4.442, 4.482, 6.297 Å; angles 90.06, 90.00, 90.00 degrees
Positions (direct):
Er: 0.000 0.891 0.592
Bi: 0.000 0.892 0.092
Tb: 0.500 0.392 0.092
Pb: 0.500 0.392 0.592

## Properties
energy of formation: -0.57 eV/atom
uncorrected energy: -4.7698 eV per atom
N(E_F): 2.90 states/eV/cell

# 6
A geometry-optimized P4S7 structure. Source: Alexandria, functional GGA-PBE.

Cell lengths 18.654, 7.475, 11.620 Å; angles 56.42, 90.00, 90.00 degrees
Positions (direct):
S: 0.197 0.473 0.678
P: 0.046 0.979 0.238
S: 0.866 0.859 0.895
S: 0.977 0.254 0.806
P: 0.454 0.979 0.738
S: 0.033 0.839 0.784
S: 0.477 0.746 0.694
P: 0.954 0.021 0.762
S: 0.418 0.818 0.947
S: 0.634 0.859 0.395
S: 0.642 0.605 0.070
S: 0.303 0.473 0.178
S: 0.803 0.527 0.322
P: 0.124 0.601 0.214
P: 0.170 0.611 0.486
S: 0.134 0.141 0.105
S: 0.082 0.818 0.447
P: 0.830 0.389 0.514
P: 0.546 0.021 0.262
S: 0.253 0.789 0.343
S: 0.858 0.605 0.570
P: 0.330 0.611 0.986
P: 0.670 0.389 0.014
P: 0.705 0.112 0.349
S: 0.697 0.527 0.822
S: 0.582 0.182 0.053
S: 0.967 0.161 0.216
P: 0.876 0.399 0.786
S: 0.142 0.395 0.430
S: 0.247 0.789 0.843
P: 0.795 0.112 0.849
S: 0.533 0.161 0.716
S: 0.358 0.395 0.930
S: 0.918 0.182 0.553
S: 0.523 0.254 0.306
P: 0.205 0.888 0.151
S: 0.023 0.746 0.194
P: 0.295 0.888 0.651
S: 0.366 0.141 0.605
S: 0.753 0.211 0.157
P: 0.376 0.601 0.714
S: 0.467 0.839 0.284
P: 0.624 0.399 0.286
S: 0.747 0.211 0.657

## Properties
uncorrected energy: -4.7736 eV per atom
formation energy without anion corrections: -0.180 eV/atom
N(E_F): 0.00 states/eV/cell

# 7
A geometry-optimized Tb2Sm2Tl structure. Source: Alexandria, functional GGA-PBE.

Cell lengths 4.632, 8.341, 8.341 Å; angles 90.00, 90.00, 90.00 degrees
Positions (direct):
Tb: 0.500 0.348 0.152
Sm: 0.000 0.851 0.649
Tl: 0.000 0.500 0.500
Tb: 0.500 0.848 0.348
Tl: 0.000 0.000 0.000
Sm: 0.000 0.149 0.351
Sm: 0.000 0.649 0.149
Tb: 0.500 0.652 0.848
Tb: 0.500 0.152 0.652
Sm: 0.000 0.351 0.851

## Properties
relative energy among the computed polymorphs: 122.4 meV per atom
energy of formation: 0.05 eV/atom
uncorrected energy: -4.1582 eV per atom
N(E_F): 10.55 states/eV/cell

# 8
A geometry-optimized SeCl3O structure. Source: Alexandria, functional GGA-PBE.

Cell lengths 4.522, 4.522, 4.522 Å; angles 90.00, 90.00, 90.00 degrees
Positions (direct):
Cl: 0.000 0.500 0.000
Cl: 0.000 0.000 0.500
Se: 0.500 0.500 0.500
O: 0.000 0.000 0.000
Cl: 0.500 0.000 0.000

## Properties
relative energy among the computed polymorphs: 1092.9 meV per atom
uncorrected energy: -1.9127 eV per atom
formation energy without anion corrections: 0.884 eV/atom
N(E_F): 3.86 states/eV/cell